NaPbAu3: relaxed, PBE.

abc: 6.9462 7.8879 8.6394
angles: 101.91 90.00 90.00
Sites, in units of the cell vectors:
Na1 0.9734 0.6557 0.2608
Na2 0.0266 0.3443 0.7392
Na3 0.4734 0.3443 0.2392
Na4 0.5266 0.6557 0.7608
Pb1 0.2542 0.9614 0.5814
Pb2 0.7458 0.0386 0.4186
Pb3 0.7542 0.0386 0.9186
Pb4 0.2458 0.9614 0.0814
Au1 0.1129 0.1989 0.3735
Au2 0.8871 0.8011 0.6265
Au3 0.6129 0.8011 0.1265
Au4 0.3871 0.1989 0.8735
Au5 0.5346 0.7082 0.4300
Au6 0.4654 0.2918 0.5700
Au7 0.0346 0.2918 0.0700
Au8 0.9654 0.7082 0.9300
Au9 0.1976 0.5518 0.5138
Au10 0.8024 0.4482 0.4862
Au11 0.6976 0.4482 0.9862
Au12 0.3024 0.5518 0.0138

Properties
- ΔE_f (eV per atom) = -0.152
- density of states at the Fermi level (states/eV/atom) = 0.3871
- space-group type = P2_1/c
- E above lowest polymorph (meV per atom) = 0

CaLa2Rh: relaxed, PBE.

abc: 6.4484 6.4484 6.4484
angles: 145.04 125.82 66.12
Sites, in units of the cell vectors:
Ca1 0.7500 0.2500 0.5000
Rh1 0.2500 0.7500 0.5000
La1 0.0619 0.0619 0.0000
La2 0.4381 0.4381 0.0000

Properties
- ΔE_f (eV per atom) = -0.371
- density of states at the Fermi level (states/eV/atom) = 0.9649
- space-group type = Immm
- E above lowest polymorph (meV per atom) = 33

Mg3Hg12Sb5: relaxed, PBE.

abc: 14.6194 14.6194 14.6194
angles: 109.47 109.47 109.47
Sites, in units of the cell vectors:
Mg1 0.7500 0.3750 0.1250
Mg2 0.8750 0.7500 0.1250
Mg3 0.3750 0.7500 0.6250
Mg4 0.2500 0.1250 0.3750
Mg5 0.8750 0.1250 0.2500
Mg6 0.3750 0.6250 0.2500
Mg7 0.6250 0.3750 0.7500
Mg8 0.1250 0.8750 0.7500
Mg9 0.7500 0.8750 0.6250
Mg10 0.6250 0.2500 0.3750
Mg11 0.1250 0.2500 0.8750
Mg12 0.2500 0.6250 0.8750
Sb1 0.1250 0.3750 0.2500
Sb2 0.0000 0.5000 0.0000
Sb3 0.0000 0.0000 0.0000
Sb4 0.3750 0.2500 0.1250
Sb5 0.5000 0.0000 0.5000
Sb6 0.5000 0.5000 0.0000
Sb7 0.1250 0.7500 0.3750
Sb8 0.7500 0.1250 0.8750
Sb9 0.7500 0.6250 0.3750
Sb10 0.3750 0.1250 0.7500
Sb11 0.6250 0.8750 0.2500
Sb12 0.5000 0.5000 0.5000
Sb13 0.5000 0.0000 0.0000
Sb14 0.0000 0.0000 0.5000
Sb15 0.2500 0.3750 0.6250
Sb16 0.2500 0.8750 0.1250
Sb17 0.0000 0.5000 0.5000
Sb18 0.8750 0.2500 0.6250
Sb19 0.6250 0.7500 0.8750
Sb20 0.8750 0.6250 0.7500
Hg1 0.7385 0.1287 0.0644
Hg2 0.3259 0.5644 0.4357
Hg3 0.9356 0.3713 0.2615
Hg4 0.5644 0.2385 0.1287
Hg5 0.6098 0.7385 0.6741
Hg6 0.9356 0.5643 0.1741
Hg7 0.3259 0.7615 0.3902
Hg8 0.0643 0.8902 0.1287
Hg9 0.5643 0.9356 0.6741
Hg10 0.7385 0.6098 0.1741
Hg11 0.7615 0.4356 0.3713
Hg12 0.8259 0.9357 0.0644
Hg13 0.1287 0.7385 0.5644
Hg14 0.3713 0.4357 0.1098
Hg15 0.1098 0.9357 0.3713
Hg16 0.3902 0.1287 0.5643
Hg17 0.1098 0.1741 0.2385
Hg18 0.4356 0.6741 0.0643
Hg19 0.8259 0.8902 0.2615
Hg20 0.1287 0.3902 0.0643
Hg21 0.3713 0.9356 0.7615
Hg22 0.5643 0.6287 0.3902
Hg23 0.9357 0.8259 0.5644
Hg24 0.7615 0.3259 0.8902
Hg25 0.4357 0.3713 0.6098
Hg26 0.0643 0.1741 0.4356
Hg27 0.2385 0.6741 0.1098
Hg28 0.1741 0.1098 0.7385
Hg29 0.6287 0.0644 0.2385
Hg30 0.8713 0.6098 0.9357
Hg31 0.5644 0.3259 0.9357
Hg32 0.6098 0.8713 0.4357
Hg33 0.8902 0.8259 0.7615
Hg34 0.8902 0.0643 0.6287
Hg35 0.8713 0.2615 0.4356
Hg36 0.1741 0.0643 0.9356
Hg37 0.6287 0.5643 0.8902
Hg38 0.4357 0.0644 0.3259
Hg39 0.2615 0.3902 0.8259
Hg40 0.2385 0.5644 0.6287
Hg41 0.9357 0.1098 0.8713
Hg42 0.6741 0.2385 0.6098
Hg43 0.4356 0.7615 0.8713
Hg44 0.0644 0.4357 0.8259
Hg45 0.3902 0.2615 0.3259
Hg46 0.0644 0.6287 0.7385
Hg47 0.6741 0.4356 0.5643
Hg48 0.2615 0.8713 0.9356

Properties
- density of states at the Fermi level (states/eV/atom) = 0.6675
- E_tot (eV/cell) = -108.4
- space-group type = Ia-3d

Li2IrRu: relaxed, PBE.

abc: 4.7897 4.7897 4.7897
angles: 144.33 127.80 64.83
Sites, in units of the cell vectors:
Ir1 0.2447 0.7447 0.5000
Li1 0.9873 0.9873 0.0000
Li2 0.7626 0.2626 0.5000
Ru1 0.5054 0.5054 0.0000

Properties
- ΔE_f (eV per atom) = 0.105
- density of states at the Fermi level (states/eV/atom) = 1.0025
- space-group type = Imm2
- E above lowest polymorph (meV per atom) = 152

YThP: relaxed, PBE.

abc: 3.8409 3.8411 13.0885
angles: 90.00 90.00 120.00
Sites, in units of the cell vectors:
Th1 0.6110 0.2220 0.0000
Th2 0.2780 0.5560 0.5000
Y1 0.6111 0.2221 0.2771
Y2 0.6111 0.2221 0.7229
P1 0.2777 0.5554 0.8534
P2 0.2777 0.5554 0.1466

Properties
- ΔE_f (eV per atom) = -0.775
- density of states at the Fermi level (states/eV/atom) = 0.8785
- space-group type = P-6m2

MgBe2Cl6: relaxed, PBE.

abc: 5.9064 9.1212 9.1212
angles: 91.49 106.78 106.78
Sites, in units of the cell vectors:
Mg1 0.2500 0.7802 0.2198
Mg2 0.7500 0.2198 0.7802
Be1 0.1742 0.3492 0.1976
Be2 0.3258 0.8024 0.6508
Be3 0.8258 0.6508 0.8024
Be4 0.6742 0.1976 0.3492
Cl1 0.3690 0.2498 0.3700
Cl2 0.1310 0.6300 0.7502
Cl3 0.6310 0.7502 0.6300
Cl4 0.8690 0.3700 0.2498
Cl5 0.8897 0.1896 0.5660
Cl6 0.6103 0.4340 0.8104
Cl7 0.1103 0.8104 0.4340
Cl8 0.3897 0.5660 0.1896
Cl9 0.0919 0.2179 0.9957
Cl10 0.4081 0.0043 0.7821
Cl11 0.9081 0.7821 0.0043
Cl12 0.5919 0.9957 0.2179

Properties
- density of states at the Fermi level (states/eV/atom) = 0.0000
- space-group type = C2/c
- E above lowest polymorph (meV per atom) = 0

K12H5Br3: relaxed, PBE.

abc: 15.7456 15.7456 15.7456
angles: 109.47 109.47 109.47
Sites, in units of the cell vectors:
Br1 0.7500 0.3750 0.1250
Br2 0.8750 0.7500 0.1250
Br3 0.3750 0.7500 0.6250
Br4 0.2500 0.1250 0.3750
Br5 0.8750 0.1250 0.2500
Br6 0.3750 0.6250 0.2500
Br7 0.6250 0.3750 0.7500
Br8 0.1250 0.8750 0.7500
Br9 0.7500 0.8750 0.6250
Br10 0.6250 0.2500 0.3750
Br11 0.1250 0.2500 0.8750
Br12 0.2500 0.6250 0.8750
H1 0.1250 0.3750 0.2500
H2 0.0000 0.5000 0.0000
H3 0.0000 0.0000 0.0000
H4 0.3750 0.2500 0.1250
H5 0.5000 0.0000 0.5000
H6 0.5000 0.5000 0.0000
H7 0.1250 0.7500 0.3750
H8 0.7500 0.1250 0.8750
H9 0.7500 0.6250 0.3750
H10 0.3750 0.1250 0.7500
H11 0.6250 0.8750 0.2500
H12 0.5000 0.5000 0.5000
H13 0.5000 0.0000 0.0000
H14 0.0000 0.0000 0.5000
H15 0.2500 0.3750 0.6250
H16 0.2500 0.8750 0.1250
H17 0.0000 0.5000 0.5000
H18 0.8750 0.2500 0.6250
H19 0.6250 0.7500 0.8750
H20 0.8750 0.6250 0.7500
K1 0.7030 0.1201 0.0173
K2 0.3142 0.5173 0.3972
K3 0.9827 0.3799 0.2970
K4 0.5173 0.2030 0.1201
K5 0.5830 0.7030 0.6858
K6 0.9827 0.6028 0.1858
K7 0.3142 0.7970 0.4170
K8 0.1028 0.9170 0.1201
K9 0.6028 0.9827 0.6858
K10 0.7030 0.5830 0.1858
K11 0.7970 0.4827 0.3799
K12 0.8142 0.8972 0.0173
K13 0.1201 0.7030 0.5173
K14 0.3799 0.3972 0.0830
K15 0.0830 0.8972 0.3799
K16 0.4170 0.1201 0.6028
K17 0.0830 0.1858 0.2030
K18 0.4827 0.6858 0.1028
K19 0.8142 0.9170 0.2970
K20 0.1201 0.4170 0.1028
K21 0.3799 0.9827 0.7970
K22 0.6028 0.6201 0.4170
K23 0.8972 0.8142 0.5173
K24 0.7970 0.3142 0.9170
K25 0.3972 0.3799 0.5830
K26 0.1028 0.1858 0.4827
K27 0.2030 0.6858 0.0830
K28 0.1858 0.0830 0.7030
K29 0.6201 0.0173 0.2030
K30 0.8799 0.5830 0.8972
K31 0.5173 0.3142 0.8972
K32 0.5830 0.8799 0.3972
K33 0.9170 0.8142 0.7970
K34 0.9170 0.1028 0.6201
K35 0.8799 0.2970 0.4827
K36 0.1858 0.1028 0.9827
K37 0.6201 0.6028 0.9170
K38 0.3972 0.0173 0.3142
K39 0.2970 0.4170 0.8142
K40 0.2030 0.5173 0.6201
K41 0.8972 0.0830 0.8799
K42 0.6858 0.2030 0.5830
K43 0.4827 0.7970 0.8799
K44 0.0173 0.3972 0.8142
K45 0.4170 0.2970 0.3142
K46 0.0173 0.6201 0.7030
K47 0.6858 0.4827 0.6028
K48 0.2970 0.8799 0.9827

Properties
- density of states at the Fermi level (states/eV/atom) = 0.4878
- E_tot (eV/cell) = -175.9
- space-group type = Ia-3d

BaAcGe2: relaxed, PBE.

abc: 4.3249 6.4760 9.0439
angles: 90.00 90.00 90.00
Sites, in units of the cell vectors:
Ba1 0.5000 0.3686 0.3207
Ba2 0.5000 0.6314 0.8207
Ac1 0.0000 0.1379 0.6839
Ac2 0.0000 0.8621 0.1839
Ge1 0.0000 0.6511 0.5282
Ge2 0.0000 0.3489 0.0282
Ge3 0.5000 0.8864 0.4672
Ge4 0.5000 0.1136 0.9672

Properties
- ΔE_f (eV per atom) = -0.600
- density of states at the Fermi level (states/eV/atom) = 0.7869
- space-group type = Pmc2_1

La5NdRu3: relaxed, PBE.

abc: 4.2417 6.7454 19.9884
angles: 89.91 90.00 90.00
Sites, in units of the cell vectors:
La1 0.5000 0.8270 0.7424
La2 0.5000 0.8324 0.0768
La3 0.5000 0.8255 0.4072
La4 0.0000 0.6680 0.9092
La5 0.0000 0.6736 0.5755
La6 0.0000 0.3264 0.4245
La7 0.0000 0.3320 0.0908
La8 0.5000 0.1676 0.9232
La9 0.5000 0.1745 0.5928
La10 0.5000 0.1730 0.2576
Nd1 0.0000 0.6702 0.2424
Nd2 0.0000 0.3298 0.7576
Ru1 0.0000 0.0000 0.0000
Ru2 0.0000 0.9915 0.6647
Ru3 0.0000 0.0085 0.3353
Ru4 0.5000 0.5073 0.8362
Ru5 0.5000 0.5000 0.5000
Ru6 0.5000 0.4927 0.1638

Properties
- ΔE_f (eV per atom) = -0.250
- density of states at the Fermi level (states/eV/atom) = 0.3773
- space-group type = P2/m

InCo2Ni: relaxed, PBE.

abc: 4.4958 4.4958 4.4958
angles: 129.60 129.60 74.05
Each line ends with the local moment (μB).
Sites, in units of the cell vectors:
Co1 0.0000 0.0000 0.0000  1.56
Co2 0.7500 0.2500 0.5000  1.29
In1 0.5000 0.5000 0.0000  -0.06
Ni1 0.2500 0.7500 0.5000  0.25

Properties
- ΔE_f (eV per atom) = 0.125
- density of states at the Fermi level (states/eV/atom) = 1.3621
- space-group type = I-4m2

CaTcPb2: relaxed, PBE.

abc: 5.0347 5.0347 5.0347
angles: 60.00 60.00 60.00
Sites, in units of the cell vectors:
Pb1 0.2500 0.2500 0.2500
Pb2 0.7500 0.7500 0.7500
Ca1 0.0000 0.0000 0.0000
Tc1 0.5000 0.5000 0.5000

Properties
- ΔE_f (eV per atom) = 0.232
- density of states at the Fermi level (states/eV/atom) = 0.8484
- space-group type = Fm-3m
- E above lowest polymorph (meV per atom) = 109

BeSiSe: relaxed, PBE.

abc: 5.8907 5.8907 5.8907
angles: 148.74 148.74 44.80
Sites, in units of the cell vectors:
Be1 0.9849 0.9849 0.0000
Si1 0.6171 0.6171 0.0000
Se1 0.3981 0.3981 0.0000

Properties
- density of states at the Fermi level (states/eV/atom) = 0.3974
- space-group type = I4mm
- E above lowest polymorph (meV per atom) = 765